# TiCrGaTc (GGA-PBE, optimized geometry)
data_TiCrGaTc
_symmetry_space_group_name_H-M 'F -4 3 m'
_symmetry_Int_Tables_number 216
_symmetry_space_group_name_Hall 'F -4 2 3'
_cell_length_a 6.1429
_cell_length_b 6.1429
_cell_length_c 6.1429
_cell_angle_alpha 90.00
_cell_angle_beta 90.00
_cell_angle_gamma 90.00
loop_
_atom_site_label
_atom_site_fract_x
_atom_site_fract_y
_atom_site_fract_z
Ti1 0.0000 0.0000 0.0000
Cr1 0.2500 0.2500 0.7500
Ga1 0.0000 0.0000 0.5000
Tc1 0.2500 0.2500 0.2500
# E, eV per atom: -7.93
# Volume, Å³/f.u.: 57.9
# Density of states at the Fermi level, states/eV/f.u.: 4.9
# Energy relative to the elements, meV/atom: -201